A relaxed structure of CeH7Pt2, computed with GGA-PBE.

The structure in POSCAR format:
```
CeH7Pt2
1.0
3.605 0.000 0.000
0.000 5.723 -0.703
0.000 -3.155 4.826
H Ce Pt
7 1 2
direct
0.000 0.336 0.664
0.000 0.664 0.336
0.500 0.292 0.025
0.500 0.975 0.708
0.500 0.708 0.975
0.500 0.025 0.292
0.500 0.500 0.500
0.000 0.000 0.000
0.500 0.331 0.669
0.500 0.669 0.331
```

space-group type = Cmmm
final energy = -4.36 eV per atom

A relaxed structure of TbCe2ErTl4, computed with GGA-PBE.

The structure in POSCAR format:
```
TbCe2ErTl4
1.0
-1.553 -2.375 -4.639
3.297 0.065 -4.324
4.251 -8.412 -0.305
Tb Ce Tl Er
1 2 4 1
direct
0.500 0.500 0.500
0.750 0.750 0.751
0.250 0.250 0.249
0.875 0.875 0.374
0.625 0.625 0.124
0.375 0.375 0.876
0.125 0.125 0.626
0.000 0.000 0.000
```

space-group type = R-3m
ΔH_f (0 K) = -0.275 eV per atom
final energy = -4.09 eV per atom